No. 1
Entry from Alexandria via LeMat-Bulk: a relaxed structure of PaAg2Pb (PBE).

Cell lengths 3.2557, 3.2557, 8.8398 Å; angles 90.00, 90.00, 90.00 degrees
Positions (direct):
Pa (0.0000, 0.0000, 0.0000)
Ag (0.5000, 0.5000, 0.2476)
Ag (0.5000, 0.5000, 0.7524)
Pb (0.0000, 0.0000, 0.5000)

Values from the calculation:
E_form ... 0.1815 eV per atom
Energy above the most stable polymorph in this dataset ... 20 meV per atom

---

No. 2
Entry from Alexandria via LeMat-Bulk: a relaxed structure of NaLa2Sm3Te6 (PBE).

Cell lengths 10.1065, 10.1065, 9.0707 Å; angles 103.48, 103.48, 25.64 degrees
Positions (direct):
Na (0.0000, 0.0000, 0.0000)
La (0.3326, 0.3326, 0.6644)
La (0.6674, 0.6674, 0.3356)
Sm (0.0000, 0.0000, 0.5000)
Sm (0.3337, 0.3337, 0.1744)
Sm (0.6663, 0.6663, 0.8256)
Te (0.1637, 0.1637, 0.5860)
Te (0.1668, 0.1668, 0.0742)
Te (0.4983, 0.4983, 0.2507)
Te (0.5017, 0.5017, 0.7493)
Te (0.8332, 0.8332, 0.9258)
Te (0.8363, 0.8363, 0.4140)

Values from the calculation:
Formation energy (no corrections) ... -1.4457 eV per atom

---

No. 3
Entry from Alexandria via LeMat-Bulk: a relaxed structure of BaOsRu (PBE).

Cell lengths 4.5536, 4.5536, 8.1110 Å; angles 90.30, 90.30, 80.74 degrees
Positions (direct):
Ba (0.2434, 0.2434, 0.1799)
Ba (0.7566, 0.7566, 0.8201)
Os (0.2803, 0.7197, 0.5000)
Os (0.7197, 0.2803, 0.5000)
Ru (0.2161, 0.2161, 0.6252)
Ru (0.7839, 0.7839, 0.3748)

Values from the calculation:
E_form ... 0.3346 eV per atom
Energy above the most stable polymorph in this dataset ... 1 meV per atom

---

No. 4
Entry from Alexandria via LeMat-Bulk: a relaxed structure of KC3 (PBE).

Cell lengths 4.1240, 4.1240, 4.1240 Å; angles 120.16, 120.16, 89.73 degrees
Positions (direct):
K (0.0000, 0.0000, 0.0000)
C (0.2500, 0.7500, 0.5000)
C (0.5000, 0.5000, 0.0000)
C (0.7500, 0.2500, 0.5000)

Values from the calculation:
E_form ... 3.8854 eV per atom
Energy above the most stable polymorph in this dataset ... 3315 meV per atom

---

No. 5
Entry from Alexandria via LeMat-Bulk: a relaxed structure of SmZnSb (PBE).

Cell lengths 4.4421, 4.4421, 4.3602 Å; angles 90.00, 90.00, 120.00 degrees
Positions (direct):
Sm (0.0000, 0.0000, 0.0000)
Zn (0.3333, 0.6667, 0.3393)
Sb (0.6667, 0.3333, 0.5432)

Values from the calculation:
Formation energy (no corrections) ... -0.6651 eV per atom

---

No. 6
Entry from Alexandria via LeMat-Bulk: a relaxed structure of KCd2SnPt (PBE).

Cell lengths 5.3464, 5.3464, 5.1918 Å; angles 90.00, 90.00, 90.00 degrees
Positions (direct):
K (0.0000, 0.0000, 0.0000)
Cd (0.0000, 0.5000, 0.5000)
Cd (0.5000, 0.0000, 0.5000)
Sn (0.5000, 0.5000, 0.0000)
Pt (0.5000, 0.5000, 0.5000)

Values from the calculation:
E_form ... -0.2285 eV per atom

---

No. 7
Entry from Alexandria via LeMat-Bulk: a relaxed structure of TiPN2O (PBE).

Cell lengths 4.0051, 4.0051, 3.7175 Å; angles 90.00, 90.00, 90.00 degrees
Positions (direct):
Ti (0.0000, 0.0000, 0.0000)
P (0.5000, 0.5000, 0.5000)
N (0.0000, 0.5000, 0.0000)
N (0.5000, 0.0000, 0.0000)
O (0.0000, 0.0000, 0.5000)

Values from the calculation:
Formation energy (no corrections) ... 0.2992 eV per atom

---

No. 8
Entry from Alexandria via LeMat-Bulk: a relaxed structure of Sc2I3Br (PBE).

Cell lengths 9.7778, 9.7778, 13.6827 Å; angles 125.09, 125.09, 23.48 degrees
Positions (direct):
Sc (0.2439, 0.2439, 0.1181)
Sc (0.2561, 0.2561, 0.6349)
Sc (0.7439, 0.7439, 0.3651)
Sc (0.7561, 0.7561, 0.8819)
I (0.1232, 0.1232, 0.1867)
I (0.3649, 0.3649, 0.5456)
I (0.3720, 0.3720, 0.0657)
I (0.6280, 0.6280, 0.9343)
I (0.6351, 0.6351, 0.4544)
I (0.8768, 0.8768, 0.8133)
Br (0.1552, 0.1552, 0.7153)
Br (0.8448, 0.8448, 0.2847)

Values from the calculation:
Formation energy (no corrections) ... -1.2075 eV per atom

---

No. 9
Entry from Alexandria via LeMat-Bulk: a relaxed structure of Nb2ReMo3 (PBE).

Cell lengths 7.1418, 7.1418, 7.8353 Å; angles 123.04, 123.04, 36.88 degrees
Positions (direct):
Nb (0.0403, 0.0403, 0.2071)
Nb (0.2938, 0.2938, 0.4591)
Nb (0.7062, 0.7062, 0.5409)
Nb (0.9597, 0.9597, 0.7929)
Re (0.3750, 0.3750, 0.8785)
Re (0.6250, 0.6250, 0.1215)
Mo (0.1248, 0.1248, 0.6283)
Mo (0.2092, 0.2092, 0.0414)
Mo (0.4557, 0.4557, 0.2885)
Mo (0.5443, 0.5443, 0.7115)
Mo (0.7908, 0.7908, 0.9586)
Mo (0.8752, 0.8752, 0.3717)

Values from the calculation:
E_form ... -0.1198 eV per atom
Energy above the most stable polymorph in this dataset ... 0 meV per atom

---

No. 10
Entry from Alexandria via LeMat-Bulk: a relaxed structure of PaInBi3 (PBE).

Cell lengths 6.5143, 6.5143, 9.2670 Å; angles 99.22, 99.22, 58.73 degrees
Positions (direct):
Pa (0.2043, 0.2043, 0.0011)
Pa (0.7957, 0.7957, 0.9989)
In (0.4570, 0.4570, 0.8438)
In (0.5430, 0.5430, 0.1562)
Bi (0.0477, 0.0477, 0.2647)
Bi (0.0715, 0.5626, 0.3163)
Bi (0.4374, 0.9285, 0.6837)
Bi (0.5626, 0.0715, 0.3163)
Bi (0.9285, 0.4374, 0.6837)
Bi (0.9523, 0.9523, 0.7353)

Values from the calculation:
E_form ... 0.1525 eV per atom
Energy above the most stable polymorph in this dataset ... 157 meV per atom

---

No. 11
Entry from Alexandria via LeMat-Bulk: a relaxed structure of TbP2Rh (PBE).

Cell lengths 5.8270, 5.8270, 5.8270 Å; angles 38.80, 38.80, 38.80 degrees
Positions (direct):
Tb (0.0000, 0.0000, 0.0000)
P (0.2296, 0.2296, 0.2296)
P (0.7704, 0.7704, 0.7704)
Rh (0.5000, 0.5000, 0.5000)

Values from the calculation:
E_form ... -1.0363 eV per atom

---

No. 12
Entry from Alexandria via LeMat-Bulk: a relaxed structure of Ca4Hg3Bi2 (PBE).

Cell lengths 5.1714, 5.1714, 11.6136 Å; angles 90.00, 90.00, 120.00 degrees
Positions (direct):
Ca (0.0000, 0.0000, 0.1539)
Ca (0.0000, 0.0000, 0.8461)
Ca (0.3333, 0.6667, 0.6073)
Ca (0.6667, 0.3333, 0.3927)
Hg (0.0000, 0.0000, 0.5000)
Hg (0.3333, 0.6667, 0.9906)
Hg (0.6667, 0.3333, 0.0094)
Bi (0.3333, 0.6667, 0.2951)
Bi (0.6667, 0.3333, 0.7049)

Values from the calculation:
E_form ... -0.6306 eV per atom

---

No. 13
Entry from Alexandria via LeMat-Bulk: a relaxed structure of Na4TiP2O9 (PBE).

Cell lengths 8.6210, 8.6210, 7.6916 Å; angles 90.00, 90.00, 131.52 degrees
Positions (direct):
Na (0.0000, 0.5000, 0.0000)
Na (0.1141, 0.8859, 0.7700)
Na (0.2500, 0.2500, 0.5000)
Na (0.3859, 0.6141, 0.7700)
Na (0.5000, 0.0000, 0.0000)
Na (0.6141, 0.3859, 0.2300)
Na (0.7500, 0.7500, 0.5000)
Na (0.8859, 0.1141, 0.2300)
Ti (0.0000, 0.5000, 0.5000)
Ti (0.5000, 0.0000, 0.5000)
P (0.1192, 0.8808, 0.2424)
P (0.3808, 0.6192, 0.2424)
P (0.6192, 0.3808, 0.7576)
P (0.8808, 0.1192, 0.7576)
O (0.0243, 0.3424, 0.6724)
O (0.0244, 0.9756, 0.2888)
O (0.1446, 0.8554, 0.0503)
O (0.1576, 0.4757, 0.3276)
O (0.2500, 0.7500, 0.5907)
O (0.3424, 0.0243, 0.3276)
O (0.3554, 0.6446, 0.0503)
O (0.4757, 0.1576, 0.6724)
O (0.4756, 0.5244, 0.2888)
O (0.5244, 0.4756, 0.7112)
O (0.5243, 0.8424, 0.3276)
O (0.6446, 0.3554, 0.9497)
O (0.6576, 0.9757, 0.6724)
O (0.7500, 0.2500, 0.4093)
O (0.8424, 0.5243, 0.6724)
O (0.8554, 0.1446, 0.9497)
O (0.9756, 0.0244, 0.7112)
O (0.9757, 0.6576, 0.3276)

Values from the calculation:
Formation energy (no corrections) ... -2.3946 eV per atom
Energy above the most stable polymorph in this dataset ... 3 meV per atom

---

No. 14
Entry from Alexandria via LeMat-Bulk: a relaxed structure of Tb2Pm3Si2 (PBE).

Cell lengths 6.3437, 6.3437, 8.3557 Å; angles 109.39, 109.39, 38.64 degrees
Positions (direct):
Tb (0.1530, 0.1530, 0.3077)
Tb (0.8470, 0.8470, 0.6923)
Pm (0.3701, 0.3701, 0.0607)
Pm (0.5000, 0.5000, 0.5000)
Pm (0.6299, 0.6299, 0.9393)
Si (0.1772, 0.1772, 0.6977)
Si (0.8228, 0.8228, 0.3023)

Values from the calculation:
Formation energy (no corrections) ... -0.4322 eV per atom

---

No. 15
Entry from Alexandria via LeMat-Bulk: a relaxed structure of K3Er3CrTe8 (PBE).

Cell lengths 9.9039, 9.9039, 9.9039 Å; angles 51.20, 51.20, 51.20 degrees
Positions (direct):
K (0.0000, 0.5000, 0.5000)
K (0.5000, 0.0000, 0.5000)
K (0.5000, 0.5000, 0.0000)
Er (0.0000, 0.0000, 0.5000)
Er (0.0000, 0.5000, 0.0000)
Er (0.5000, 0.0000, 0.0000)
Cr (0.5000, 0.5000, 0.5000)
Te (0.2364, 0.2364, 0.2364)
Te (0.2556, 0.7192, 0.7192)
Te (0.2808, 0.2808, 0.7444)
Te (0.2808, 0.7444, 0.2808)
Te (0.7192, 0.2556, 0.7192)
Te (0.7192, 0.7192, 0.2556)
Te (0.7444, 0.2808, 0.2808)
Te (0.7636, 0.7636, 0.7636)

Values from the calculation:
Formation energy (no corrections) ... -1.0810 eV per atom

---

No. 16
Entry from Alexandria via LeMat-Bulk: a relaxed structure of NaBiPS2 (PBE).

Cell lengths 4.8929, 4.8929, 4.8656 Å; angles 90.00, 90.00, 90.00 degrees
Positions (direct):
Na (0.0000, 0.0000, 0.0000)
Bi (0.5000, 0.5000, 0.5000)
P (0.0000, 0.0000, 0.5000)
S (0.0000, 0.5000, 0.0000)
S (0.5000, 0.0000, 0.0000)

Values from the calculation:
Formation energy (no corrections) ... 0.8204 eV per atom
Energy above the most stable polymorph in this dataset ... 491 meV per atom

---

No. 17
Entry from Alexandria via LeMat-Bulk: a relaxed structure of BPd3Pb (PBE).

Cell lengths 4.3167, 4.3167, 4.3167 Å; angles 90.00, 90.00, 90.00 degrees
Positions (direct):
B (0.0000, 0.0000, 0.0000)
Pd (0.0000, 0.0000, 0.5000)
Pd (0.0000, 0.5000, 0.0000)
Pd (0.5000, 0.0000, 0.0000)
Pb (0.5000, 0.5000, 0.5000)

Values from the calculation:
E_form ... -0.1437 eV per atom
Energy above the most stable polymorph in this dataset ... 0 meV per atom

---

No. 18
Entry from Alexandria via LeMat-Bulk: a relaxed structure of BaAlCl2 (PBE).

Cell lengths 4.3498, 4.4885, 6.0644 Å; angles 90.00, 90.00, 90.00 degrees
Positions (direct):
Ba (0.0000, 0.0000, 0.0000)
Al (0.5000, 0.0000, 0.5000)
Cl (0.0000, 0.5000, 0.5000)
Cl (0.5000, 0.5000, 0.0000)

Values from the calculation:
Formation energy (no corrections) ... -1.1561 eV per atom
Energy above the most stable polymorph in this dataset ... 64 meV per atom

---

No. 19
Entry from Alexandria via LeMat-Bulk: a relaxed structure of PrErH8Rh2 (PBE).

Cell lengths 6.5783, 6.5783, 6.5783 Å; angles 43.80, 43.80, 43.80 degrees
Positions (direct):
Pr (0.0000, 0.0000, 0.0000)
Er (0.5000, 0.5000, 0.5000)
H (0.0675, 0.3950, 0.8578)
H (0.1422, 0.9325, 0.6050)
H (0.3195, 0.3195, 0.3195)
H (0.3950, 0.8578, 0.0675)
H (0.6050, 0.1422, 0.9325)
H (0.6805, 0.6805, 0.6805)
H (0.8578, 0.0675, 0.3950)
H (0.9325, 0.6050, 0.1422)
Rh (0.2291, 0.2291, 0.2291)
Rh (0.7709, 0.7709, 0.7709)

Values from the calculation:
Raw total energy ... -54.6 eV per cell

---

No. 20
Entry from Alexandria via LeMat-Bulk: a relaxed structure of RbInOsO6 (PBE).

Cell lengths 5.5736, 5.5736, 6.1265 Å; angles 90.00, 90.00, 120.00 degrees
Positions (direct):
Rb (0.0000, 0.0000, 0.0000)
In (0.3333, 0.6667, 0.5000)
Os (0.6667, 0.3333, 0.5000)
O (0.4198, 0.0403, 0.6801)
O (0.4198, 0.3795, 0.3199)
O (0.6205, 0.0403, 0.3199)
O (0.6205, 0.5802, 0.6801)
O (0.9597, 0.3795, 0.6801)
O (0.9597, 0.5802, 0.3199)

Values from the calculation:
Formation energy (no corrections) ... -1.1894 eV per atom

---

| no. | volume (Å³ per cell) |
| --- | --- |
| 1 | 93.7 |
| 2 | 389.3 |
| 3 | 166.0 |
| 4 | 49.5 |
| 5 | 74.5 |
| 6 | 148.4 |
| 7 | 59.6 |
| 8 | 421.9 |
| 9 | 196.3 |
| 10 | 330.4 |
| 11 | 69.8 |
| 12 | 269.0 |
| 13 | 428.0 |
| 14 | 196.5 |
| 15 | 544.6 |
| 16 | 116.5 |
| 17 | 80.4 |
| 18 | 118.4 |
| 19 | 123.8 |
| 20 | 164.8 |